No. 1
This record from the Alexandria database describes a geometry-optimized Li2MnSnO4 structure. The functional is GGA-PBEsol.

Cell lengths 5.2351, 3.0946, 5.4090 Å; angles 90.00, 110.42, 90.00 degrees
Last column: nearest neighbours and their distance in Å.
Fractional positions:
Li1 0.0000 0.0000 0.0000  6 O 2.15-2.19
Li2 0.0000 0.5000 0.5000  6 O 2.21-2.32
Mn1 0.5000 0.0000 0.5000  6 O 2.15-2.23
Sn1 0.5000 0.5000 0.0000  6 O 2.05-2.12
O1 0.2561 0.0000 0.7648  2 Sn 2.12, 3 Li 2.15-2.21, 1 Mn 2.23
O2 0.2702 0.5000 0.2398  1 Sn 2.05, 2 Mn 2.15, 2 Li 2.19
O3 0.7298 0.5000 0.7602  1 Sn 2.05, 2 Mn 2.15, 2 Li 2.19
O4 0.7439 0.0000 0.2352  2 Sn 2.12, 3 Li 2.15-2.21, 1 Mn 2.23

## Properties
Relative energy among the computed polymorphs ... 0.019 eV per atom
Uncorrected formation energy ... -162.4 kJ/mol of atoms
SG ... No. 10

No. 2
This record from the Alexandria database describes a geometry-optimized Li3Mn2SnO6 structure. The functional is GGA-PBEsol.

Cell lengths 5.9904, 6.0918, 6.8088 Å; angles 102.94, 101.08, 90.65 degrees
Last column: nearest neighbours and their distance in Å.
Fractional positions:
Li1 0.0000 0.0000 0.0000  6 O 2.16-2.23
Li2 0.0000 0.5000 0.0000  6 O 2.13-2.21
Li3 0.3202 0.3309 0.3372  6 O 2.06-2.24
Li4 0.3344 0.8086 0.3504  4 O 2.10-2.20
Li5 0.6656 0.1914 0.6496  4 O 2.10-2.20
Li6 0.6798 0.6691 0.6628  6 O 2.06-2.24
Mn1 0.1492 0.1654 0.6579  6 O 2.08-2.25
Mn2 0.1559 0.6604 0.6636  4 O 1.92-2.02
Mn3 0.8441 0.3396 0.3364  4 O 1.92-2.02
Mn4 0.8508 0.8346 0.3421  6 O 2.08-2.25
Sn1 0.5000 0.0000 0.0000  6 O 2.08-2.10
Sn2 0.5000 0.5000 0.0000  6 O 2.08-2.09
O1 0.0569 0.1071 0.3315  3 Mn 1.92-2.13, 1 Li 2.06
O2 0.0690 0.5632 0.3265  2 Mn 1.93-2.12, 3 Li 2.08-2.13
O3 0.2629 0.2477 0.0029  2 Sn 2.08-2.09, 3 Li 2.16-2.21, 1 Mn 2.25
O4 0.2710 0.7550 0.0289  2 Sn 2.08-2.09, 3 Li 2.10-2.23
O5 0.3983 0.8959 0.6787  2 Mn 2.00-2.24, 1 Sn 2.10, 2 Li 2.14-2.20
O6 0.3987 0.4345 0.6821  2 Mn 2.02-2.16, 1 Sn 2.08, 3 Li 2.20-2.24
O7 0.6013 0.5655 0.3179  2 Mn 2.02-2.16, 1 Sn 2.08, 3 Li 2.20-2.24
O8 0.6017 0.1041 0.3213  2 Mn 2.00-2.24, 1 Sn 2.10, 2 Li 2.14-2.20
O9 0.7290 0.2450 0.9711  2 Sn 2.08-2.09, 3 Li 2.10-2.23
O10 0.7371 0.7523 0.9971  2 Sn 2.08-2.09, 3 Li 2.16-2.21, 1 Mn 2.25
O11 0.9310 0.4368 0.6735  2 Mn 1.93-2.12, 3 Li 2.08-2.13
O12 0.9431 0.8929 0.6685  3 Mn 1.92-2.13, 1 Li 2.06

## Properties
Relative energy among the computed polymorphs ... 0.000 eV per atom
Uncorrected formation energy ... -164.7 kJ/mol of atoms
SG ... No. 2

No. 3
This record from the Alexandria database describes a geometry-optimized LiMnSnO4 structure. The functional is GGA-PBEsol.

Cell lengths 6.1881, 6.1881, 6.1881 Å; angles 124.42, 120.31, 85.99 degrees
Last column: nearest neighbours and their distance in Å.
Fractional positions:
Li1 0.3840 0.1340 0.2500  4 O 1.94-2.14
Li2 0.6160 0.8660 0.7500  4 O 1.94-2.14
Mn1 0.0000 0.0000 0.5000  4 O 1.95
Mn2 0.0000 0.5000 0.0000  4 O 1.95
Sn1 0.0000 0.5000 0.5000  6 O 2.06-2.13
Sn2 0.5000 0.5000 0.0000  6 O 2.06-2.13
O1 0.1951 0.7342 0.4609  2 Mn 1.95, 1 Sn 2.13, 1 Li 2.14
O2 0.2267 0.2658 0.9609  2 Mn 1.95, 1 Sn 2.13, 1 Li 2.14
O3 0.2504 0.2628 0.5124  1 Li 1.94, 2 Sn 2.06
O4 0.2504 0.7380 0.9876  1 Li 1.94, 2 Sn 2.06
O5 0.7496 0.2620 0.0124  1 Li 1.94, 2 Sn 2.06
O6 0.7496 0.7372 0.4876  1 Li 1.94, 2 Sn 2.06
O7 0.7733 0.7342 0.0391  2 Mn 1.95, 1 Sn 2.13, 1 Li 2.14
O8 0.8049 0.2658 0.5391  2 Mn 1.95, 1 Sn 2.13, 1 Li 2.14

## Properties
Uncorrected formation energy ... -167.0 kJ/mol of atoms
SG ... No. 74

No. 4
This record from the Alexandria database describes a geometry-optimized Li4Ti2Mn3Sn3O16 structure. The functional is GGA-PBEsol.

Cell lengths 6.0356, 6.0356, 9.6216 Å; angles 90.94, 90.94, 60.74 degrees
Last column: nearest neighbours and their distance in Å.
Fractional positions:
Li1 0.0000 0.0000 0.0000  2 O 1.79-1.94
Li2 0.9998 0.9998 0.4901  3 O 1.79-1.98
Li3 0.3074 0.3074 0.3933  4 O 1.99-2.01
Li4 0.6564 0.6564 0.9014  4 O 1.96-2.03
Ti1 0.3148 0.3148 0.9963  1 O 1.79
Ti2 0.6291 0.6291 0.4850  3 O 1.82-1.92
Mn1 0.1590 0.1590 0.7173  6 O 1.96-2.17
Mn2 0.3259 0.8104 0.2144  5 O 1.95-2.16
Mn3 0.8104 0.3259 0.2144  5 O 1.95-2.16
Sn1 0.1556 0.6492 0.7146  6 O 2.05-2.11
Sn2 0.6492 0.1556 0.7146  6 O 2.05-2.11
Sn3 0.8157 0.8157 0.2145  6 O 2.06-2.13
O1 0.0316 0.4764 0.8535  1 Ti 2.02, 1 Li 2.03, 1 Sn 2.07, 1 Mn 2.12
O2 0.1576 0.6625 0.0987  1 Mn 1.97, 1 Li 2.02, 1 Ti 2.07, 1 Sn 2.13
O3 0.1680 0.1680 0.0894  1 Ti 1.79, 1 Li 1.94
O4 0.3142 0.3142 0.6002  1 Mn 1.99, 1 Li 1.99, 2 Sn 2.07
O5 0.3260 0.8123 0.5929  1 Ti 1.92, 1 Li 1.98, 1 Sn 2.11
O6 0.4764 0.0316 0.8535  1 Ti 2.02, 1 Li 2.03, 1 Sn 2.07, 1 Mn 2.12
O7 0.4759 0.4759 0.8410  1 Li 1.96, 2 Sn 2.07
O8 0.4972 0.4972 0.3578  1 Ti 1.82, 1 Li 2.01
O9 0.4982 0.9377 0.3407  1 Mn 1.96, 1 Li 2.01, 1 Sn 2.09, 1 Ti 2.15
O10 0.6408 0.6408 0.1090  2 Mn 1.95, 1 Li 2.01, 1 Sn 2.07
O11 0.6625 0.1576 0.0987  1 Mn 1.97, 1 Li 2.02, 1 Ti 2.07, 1 Sn 2.13
O12 0.8123 0.3260 0.5929  1 Ti 1.92, 1 Li 1.98, 1 Sn 2.11
O13 0.8257 0.8257 0.5921  1 Li 2.08, 2 Sn 2.09, 1 Ti 2.27
O14 0.9377 0.4982 0.3407  1 Mn 1.96, 1 Li 2.01, 1 Sn 2.09, 1 Ti 2.15
O15 0.9946 0.9946 0.8142  1 Li 1.79, 1 Mn 1.96
O16 0.9969 0.9969 0.3039  1 Li 1.79, 2 Mn 1.95

## Properties
Uncorrected formation energy ... -193.0 kJ/mol of atoms
SG ... No. 8

No. 5
This record from the Alexandria database describes a geometry-optimized Li4Ti3Mn3Sn2O16 structure. The functional is GGA-PBEsol.

Cell lengths 5.8554, 5.8554, 9.7705 Å; angles 90.54, 90.54, 59.88 degrees
Last column: nearest neighbours and their distance in Å.
Fractional positions:
Li1 0.0000 0.0000 0.0000  4 O 1.83-1.95
Li2 0.0163 0.0163 0.4968  4 O 1.82-2.02
Li3 0.3430 0.3430 0.5936  4 O 1.92-1.99
Li4 0.6655 0.6655 0.0889  4 O 1.95-2.05
Ti1 0.1717 0.6636 0.2748  6 O 1.95-2.07
Ti2 0.6636 0.1717 0.2748  6 O 1.95-2.07
Ti3 0.8356 0.8356 0.7708  6 O 1.93-2.02
Mn1 0.1877 0.1877 0.2787  6 O 1.96-1.99
Mn2 0.3438 0.8338 0.7761  5 O 1.92-2.13
Mn3 0.8338 0.3438 0.7761  5 O 1.92-2.13
Sn1 0.3299 0.3299 0.9977  6 O 2.03-2.17
Sn2 0.6729 0.6729 0.4995  6 O 2.07-2.12
O1 0.0098 0.0098 0.6833  1 Li 1.82, 2 Mn 1.92, 1 Ti 1.97
O2 0.0127 0.0127 0.1866  1 Li 1.83, 2 Ti 1.97, 1 Mn 1.98
O3 0.0330 0.4877 0.1527  1 Li 1.96, 1 Mn 1.96, 1 Ti 1.99, 1 Sn 2.14
O4 0.1499 0.6742 0.8921  1 Li 1.95, 1 Ti 1.98, 1 Sn 2.03, 1 Mn 2.13
O5 0.1568 0.1568 0.8925  1 Li 1.92, 2 Mn 1.99, 1 Sn 2.03
O6 0.3297 0.8568 0.3845  1 Li 1.93, 1 Mn 1.98, 1 Sn 2.07, 1 Ti 2.07
O7 0.3529 0.3529 0.3906  2 Ti 1.95, 1 Li 1.99, 1 Mn 1.99
O8 0.4840 0.4840 0.1528  1 Li 1.95, 2 Ti 1.99, 1 Sn 2.17
O9 0.4877 0.0330 0.1527  1 Li 1.96, 1 Mn 1.96, 1 Ti 1.99, 1 Sn 2.14
O10 0.5251 0.5251 0.6480  1 Li 1.92, 2 Mn 2.00, 1 Sn 2.10
O11 0.5368 0.9798 0.6471  1 Li 1.92, 1 Ti 1.93, 1 Sn 2.12
O12 0.6676 0.6676 0.8788  2 Mn 1.92, 1 Ti 2.02, 1 Li 2.05
O13 0.6742 0.1499 0.8921  1 Li 1.95, 1 Ti 1.98, 1 Sn 2.03, 1 Mn 2.13
O14 0.8463 0.8463 0.3873  2 Ti 1.99, 1 Li 2.02, 1 Sn 2.08
O15 0.8568 0.3297 0.3845  1 Li 1.93, 1 Mn 1.98, 1 Sn 2.07, 1 Ti 2.07
O16 0.9798 0.5368 0.6471  1 Li 1.92, 1 Ti 1.93, 1 Sn 2.12

## Properties
Uncorrected formation energy ... -209.7 kJ/mol of atoms
SG ... No. 8

No. 6
This record from the Alexandria database describes a geometry-optimized Li4Ti3Mn2Sn3O16 structure. The functional is GGA-PBEsol.

Cell lengths 6.0773, 6.0773, 9.7941 Å; angles 90.46, 90.46, 59.71 degrees
Last column: nearest neighbours and their distance in Å.
Fractional positions:
Li1 0.0000 0.0000 0.0000  4 O 1.78-1.95
Li2 0.0078 0.0078 0.5060  3 O 1.77-1.92
Li3 0.3186 0.3186 0.6139  4 O 2.00-2.06
Li4 0.6540 0.6540 0.1087  4 O 1.99-2.05
Ti1 0.1621 0.1621 0.2824  6 O 1.93-2.04
Ti2 0.3276 0.8181 0.7857  6 O 1.95-2.02
Ti3 0.8181 0.3276 0.7857  6 O 1.95-2.02
Mn1 0.3206 0.3206 0.9984  6 O 2.08-2.32
Mn2 0.6561 0.6561 0.5050  5 O 2.09-2.22
Sn1 0.1603 0.6543 0.2874  6 O 2.05-2.10
Sn2 0.6543 0.1603 0.2874  6 O 2.05-2.10
Sn3 0.8196 0.8196 0.7866  6 O 2.06-2.12
O1 0.0195 0.4645 0.1703  1 Ti 1.93, 1 Li 2.01, 1 Sn 2.08
O2 0.1490 0.1490 0.8908  1 Li 1.91, 2 Ti 2.02, 1 Mn 2.08
O3 0.1538 0.6792 0.8985  1 Li 1.95, 1 Ti 2.00, 1 Sn 2.07, 1 Mn 2.13
O4 0.3114 0.8442 0.3976  1 Li 1.92, 1 Ti 2.02, 1 Mn 2.09, 1 Sn 2.09
O5 0.3197 0.3197 0.4039  1 Ti 2.04, 1 Li 2.06, 2 Sn 2.10
O6 0.4645 0.0195 0.1703  1 Ti 1.93, 1 Li 2.01, 1 Sn 2.08
O7 0.4729 0.4729 0.1633  1 Li 1.99, 2 Sn 2.05
O8 0.4947 0.9514 0.6684  1 Ti 1.97, 1 Li 2.00, 1 Sn 2.06
O9 0.5044 0.5044 0.6794  2 Ti 1.95, 1 Li 2.06
O10 0.6486 0.6486 0.8991  2 Ti 2.01, 1 Li 2.05, 1 Sn 2.12
O11 0.6792 0.1538 0.8985  1 Li 1.95, 1 Ti 2.00, 1 Sn 2.07, 1 Mn 2.13
O12 0.8389 0.8389 0.4066  1 Li 2.02, 2 Sn 2.06, 1 Mn 2.16
O13 0.8442 0.3114 0.3976  1 Li 1.92, 1 Ti 2.02, 1 Mn 2.09, 1 Sn 2.09
O14 0.9514 0.4947 0.6684  1 Ti 1.97, 1 Li 2.00, 1 Sn 2.06
O15 0.9938 0.9938 0.6863  1 Li 1.77
O16 0.9959 0.9959 0.1816  1 Li 1.78

## Properties
Uncorrected formation energy ... -204.6 kJ/mol of atoms
SG ... No. 8

No. 7
This record from the Alexandria database describes a geometry-optimized Li4Mn3V3Sn2O16 structure. The functional is GGA-PBEsol.

Cell lengths 5.8475, 5.8475, 9.6677 Å; angles 90.50, 90.50, 59.11 degrees
Last column: nearest neighbours and their distance in Å.
Fractional positions:
Li1 0.0000 0.0000 0.0000  4 O 1.80-1.92
Li2 0.0033 0.0033 0.4981  4 O 1.80-1.92
Li3 0.3339 0.3339 0.0935  4 O 1.93-2.05
Li4 0.6682 0.6682 0.5986  4 O 1.93-2.02
Mn1 0.1711 0.6620 0.7777  6 O 1.92-1.98
Mn2 0.6620 0.1711 0.7777  6 O 1.92-1.98
Mn3 0.8378 0.8378 0.2770  6 O 1.94-2.00
V1 0.1701 0.1701 0.7751  6 O 1.94-2.00
V2 0.3539 0.8233 0.2780  6 O 1.93-2.02
V3 0.8233 0.3539 0.2780  6 O 1.93-2.02
Sn1 0.3360 0.3360 0.5013  6 O 2.04-2.16
Sn2 0.6689 0.6689 0.9991  6 O 2.06-2.14
O1 0.0076 0.0076 0.1866  1 Li 1.80, 1 Mn 1.94, 2 V 1.95
O2 0.0348 0.4888 0.6595  1 Li 1.93, 1 Mn 1.94, 1 V 1.96, 1 Sn 2.16
O3 0.1618 0.1618 0.3920  1 Li 1.92, 2 V 2.02, 1 Sn 2.05
O4 0.1681 0.6821 0.3911  1 Li 1.91, 1 Mn 1.99, 1 V 2.00, 1 Sn 2.04
O5 0.3170 0.8402 0.8889  1 Li 1.92, 1 Mn 1.96, 1 V 2.00, 1 Sn 2.06
O6 0.3352 0.3352 0.8816  2 Mn 1.93, 1 V 1.96, 1 Li 2.05
O7 0.4852 0.4852 0.6572  1 Li 1.95, 2 Mn 1.97, 1 Sn 2.13
O8 0.4888 0.0348 0.6595  1 Li 1.93, 1 Mn 1.94, 1 V 1.96, 1 Sn 2.16
O9 0.5154 0.9685 0.1576  1 Li 1.94, 1 V 1.96, 1 Mn 1.99, 1 Sn 2.14
O10 0.5160 0.5160 0.1501  1 Li 1.93, 2 V 1.97, 1 Sn 2.14
O11 0.6739 0.6739 0.3895  2 V 1.93, 1 Mn 2.00, 1 Li 2.02
O12 0.6821 0.1681 0.3911  1 Li 1.91, 1 Mn 1.99, 1 V 2.00, 1 Sn 2.04
O13 0.8402 0.3170 0.8889  1 Li 1.92, 1 Mn 1.96, 1 V 2.00, 1 Sn 2.06
O14 0.8419 0.8419 0.8905  1 Li 1.92, 2 Mn 1.98, 1 Sn 2.06
O15 0.9685 0.5154 0.1576  1 Li 1.94, 1 V 1.96, 1 Mn 1.99, 1 Sn 2.14
O16 0.9993 0.9993 0.6843  1 Li 1.80, 2 Mn 1.92, 1 V 1.94

## Properties
Uncorrected formation energy ... -190.5 kJ/mol of atoms
SG ... No. 8